A plane-wave DFT calculation with PBE was carried out for VGe2I after structural relaxation.

Values from the calculation:
energy relative to the elements, uncorrected = 0.3076 eV/atom

Structure (CIF):
```
data_VGe2I
_chemical_formula_sum 'V3 Ge6 I3'
_space_group_name_H-M_alt 'R -3 m'
_space_group_IT_number 166
_space_group_name_Hall '-R 3 2"'
_cell_length_a 3.4380
_cell_length_b 3.4380
_cell_length_c 26.3263
_cell_angle_alpha 90.00
_cell_angle_beta 90.00
_cell_angle_gamma 120.00
loop_
_atom_site_label
_atom_site_type_symbol
_atom_site_fract_x
_atom_site_fract_y
_atom_site_fract_z
V1 V 0.0000 0.0000 0.0000
Ge1 Ge 0.0000 0.0000 0.3931
I1 I 0.0000 0.0000 0.5000
```

---

A plane-wave DFT calculation with PBE was carried out for V2Ge4I after structural relaxation.

Values from the calculation:
energy relative to the elements, uncorrected = 1.0645 eV/atom

Structure (CIF):
```
data_V2Ge4I
_chemical_formula_sum 'V4 Ge8 I2'
_space_group_name_H-M_alt 'I 4/m m m'
_space_group_IT_number 139
_space_group_name_Hall '-I 4 2'
_cell_length_a 5.389
_cell_length_b 5.389
_cell_length_c 12.640
_cell_angle_alpha 90.00
_cell_angle_beta 90.00
_cell_angle_gamma 90.00
loop_
_atom_site_label
_atom_site_type_symbol
_atom_site_fract_x
_atom_site_fract_y
_atom_site_fract_z
V1 V 0.000 0.000 0.076
Ge1 Ge 0.000 0.000 0.271
Ge2 Ge 0.000 0.500 0.000
I1 I 0.000 0.000 0.500
```

---

A plane-wave DFT calculation with PBE was carried out for VGe2I after structural relaxation.

Values from the calculation:
energy relative to the elements, uncorrected = 0.8800 eV/atom

Structure (CIF):
```
data_VGe2I
_chemical_formula_sum 'V4 Ge8 I4'
_space_group_name_H-M_alt 'F m -3 m'
_space_group_IT_number 225
_space_group_name_Hall '-F 4 2 3'
_cell_length_a 7.041
_cell_length_b 7.041
_cell_length_c 7.041
_cell_angle_alpha 90.00
_cell_angle_beta 90.00
_cell_angle_gamma 90.00
loop_
_atom_site_label
_atom_site_type_symbol
_atom_site_fract_x
_atom_site_fract_y
_atom_site_fract_z
V1 V 0.000 0.000 0.000
Ge1 Ge 0.250 0.250 0.250
I1 I 0.000 0.000 0.500
```

---

A plane-wave DFT calculation with PBE was carried out for GeWI3 after structural relaxation.

Values from the calculation:
energy relative to the elements, uncorrected = 0.9110 eV/atom

Structure (CIF):
```
data_GeWI3
_chemical_formula_sum 'Ge1 W1 I3'
_space_group_name_H-M_alt 'P m -3 m'
_space_group_IT_number 221
_space_group_name_Hall '-P 4 2 3'
_cell_length_a 5.558
_cell_length_b 5.558
_cell_length_c 5.558
_cell_angle_alpha 90.00
_cell_angle_beta 90.00
_cell_angle_gamma 90.00
loop_
_atom_site_label
_atom_site_type_symbol
_atom_site_fract_x
_atom_site_fract_y
_atom_site_fract_z
Ge1 Ge 0.000 0.000 0.000
W1 W 0.500 0.500 0.500
I1 I 0.000 0.500 0.500
```

---

A plane-wave DFT calculation with PBE was carried out for GeWI3 after structural relaxation.

Values from the calculation:
energy relative to the elements, uncorrected = 1.2761 eV/atom

Structure (CIF):
```
data_GeWI3
_chemical_formula_sum 'Ge1 W1 I3'
_space_group_name_H-M_alt 'P m -3 m'
_space_group_IT_number 221
_space_group_name_Hall '-P 4 2 3'
_cell_length_a 5.747
_cell_length_b 5.747
_cell_length_c 5.747
_cell_angle_alpha 90.00
_cell_angle_beta 90.00
_cell_angle_gamma 90.00
loop_
_atom_site_label
_atom_site_type_symbol
_atom_site_fract_x
_atom_site_fract_y
_atom_site_fract_z
Ge1 Ge 0.000 0.000 0.000
W1 W 0.500 0.500 0.500
I1 I 0.000 0.000 0.500
```

---

A plane-wave DFT calculation with PBE was carried out for Y2GeWI after structural relaxation.

Values from the calculation:
energy relative to the elements, uncorrected = 1.4271 eV/atom

Structure (CIF):
```
data_Y2GeWI
_chemical_formula_sum 'Y2 Ge1 W1 I1'
_space_group_name_H-M_alt 'P 4/m m m'
_space_group_IT_number 123
_space_group_name_Hall '-P 4 2'
_cell_length_a 5.568
_cell_length_b 5.568
_cell_length_c 5.289
_cell_angle_alpha 90.00
_cell_angle_beta 90.00
_cell_angle_gamma 90.00
loop_
_atom_site_label
_atom_site_type_symbol
_atom_site_fract_x
_atom_site_fract_y
_atom_site_fract_z
Y1 Y 0.000 0.500 0.000
Ge1 Ge 0.000 0.000 0.500
W1 W 0.500 0.500 0.500
I1 I 0.000 0.000 0.000
```

---

A plane-wave DFT calculation with PBE was carried out for ZnGeWI2 after structural relaxation.

Values from the calculation:
energy relative to the elements, uncorrected = 1.4786 eV/atom

Structure (CIF):
```
data_ZnGeWI2
_chemical_formula_sum 'Zn1 Ge1 W1 I2'
_space_group_name_H-M_alt 'P 4/m m m'
_space_group_IT_number 123
_space_group_name_Hall '-P 4 2'
_cell_length_a 5.620
_cell_length_b 5.620
_cell_length_c 4.748
_cell_angle_alpha 90.00
_cell_angle_beta 90.00
_cell_angle_gamma 90.00
loop_
_atom_site_label
_atom_site_type_symbol
_atom_site_fract_x
_atom_site_fract_y
_atom_site_fract_z
Zn1 Zn 0.000 0.000 0.000
Ge1 Ge 0.000 0.000 0.500
W1 W 0.500 0.500 0.500
I1 I 0.000 0.500 0.000
```

---

A plane-wave DFT calculation with PBE was carried out for Y2GeI3 after structural relaxation.

Values from the calculation:
energy relative to the elements, uncorrected = -1.0567 eV/atom

Structure (CIF):
```
data_Y2GeI3
_chemical_formula_sum 'Y8 Ge4 I12'
_space_group_name_H-M_alt 'C 1 2/m 1'
_space_group_IT_number 12
_space_group_name_Hall '-C 2y'
_cell_length_a 20.785
_cell_length_b 4.172
_cell_length_c 14.461
_cell_angle_alpha 90.00
_cell_angle_beta 129.84
_cell_angle_gamma 90.00
loop_
_atom_site_label
_atom_site_type_symbol
_atom_site_fract_x
_atom_site_fract_y
_atom_site_fract_z
Y1 Y 0.101 0.000 0.235
Y2 Y 0.125 0.500 0.944
Ge1 Ge 0.060 0.000 0.000
I1 I 0.038 0.500 0.326
I2 I 0.181 0.000 0.840
I3 I 0.241 0.500 0.351
```

---

A plane-wave DFT calculation with PBE was carried out for YGe2I after structural relaxation.

Values from the calculation:
energy relative to the elements, uncorrected = -0.1215 eV/atom

Structure (CIF):
```
data_YGe2I
_chemical_formula_sum 'Y4 Ge8 I4'
_space_group_name_H-M_alt 'I -4 2 d'
_space_group_IT_number 122
_space_group_name_Hall 'I -4 2bw'
_cell_length_a 4.380
_cell_length_b 4.380
_cell_length_c 23.379
_cell_angle_alpha 90.00
_cell_angle_beta 90.00
_cell_angle_gamma 90.00
loop_
_atom_site_label
_atom_site_type_symbol
_atom_site_fract_x
_atom_site_fract_y
_atom_site_fract_z
Y1 Y 0.000 0.000 0.000
Ge1 Ge 0.142 0.250 0.125
I1 I 0.000 0.000 0.500
```

---

A plane-wave DFT calculation with PBE was carried out for Y2GeI2 after structural relaxation.

Values from the calculation:
energy relative to the elements, uncorrected = -0.5591 eV/atom

Structure (CIF):
```
data_Y2GeI2
_chemical_formula_sum 'Y4 Ge2 I4'
_space_group_name_H-M_alt 'P 4/m b m'
_space_group_IT_number 127
_space_group_name_Hall '-P 4 2ab'
_cell_length_a 8.264
_cell_length_b 8.264
_cell_length_c 4.143
_cell_angle_alpha 90.00
_cell_angle_beta 90.00
_cell_angle_gamma 90.00
loop_
_atom_site_label
_atom_site_type_symbol
_atom_site_fract_x
_atom_site_fract_y
_atom_site_fract_z
Y1 Y 0.159 0.341 0.000
Ge1 Ge 0.000 0.000 0.000
I1 I 0.141 0.641 0.500
```

---

A plane-wave DFT calculation with PBE was carried out for YGeI2 after structural relaxation.

Values from the calculation:
energy relative to the elements, uncorrected = -0.2608 eV/atom

Structure (CIF):
```
data_YGeI2
_chemical_formula_sum 'Y4 Ge4 I8'
_space_group_name_H-M_alt 'F m -3 m'
_space_group_IT_number 225
_space_group_name_Hall '-F 4 2 3'
_cell_length_a 7.654
_cell_length_b 7.654
_cell_length_c 7.654
_cell_angle_alpha 90.00
_cell_angle_beta 90.00
_cell_angle_gamma 90.00
loop_
_atom_site_label
_atom_site_type_symbol
_atom_site_fract_x
_atom_site_fract_y
_atom_site_fract_z
Y1 Y 0.000 0.000 0.000
Ge1 Ge 0.000 0.000 0.500
I1 I 0.250 0.250 0.250
```

---

A plane-wave DFT calculation with PBE was carried out for Y2Ge2I after structural relaxation.

Values from the calculation:
energy relative to the elements, uncorrected = -0.7539 eV/atom

Structure (CIF):
```
data_Y2Ge2I
_chemical_formula_sum 'Y4 Ge4 I2'
_space_group_name_H-M_alt 'P 4/m b m'
_space_group_IT_number 127
_space_group_name_Hall '-P 4 2ab'
_cell_length_a 8.138
_cell_length_b 8.138
_cell_length_c 3.934
_cell_angle_alpha 90.00
_cell_angle_beta 90.00
_cell_angle_gamma 90.00
loop_
_atom_site_label
_atom_site_type_symbol
_atom_site_fract_x
_atom_site_fract_y
_atom_site_fract_z
Y1 Y 0.175 0.325 0.000
Ge1 Ge 0.109 0.609 0.500
I1 I 0.000 0.000 0.000
```